# ZnAgCl2, optimized geometry, DFT PBE
data_ZnAgCl2
_cell_length_a 3.432
_cell_length_b 3.432
_cell_length_c 6.814
_cell_angle_alpha 90.00
_cell_angle_beta 90.00
_cell_angle_gamma 90.00
_symmetry_space_group_name_H-M 'P 4/m m m'
_symmetry_Int_Tables_number 123
_symmetry_space_group_name_Hall '-P 4 2'
loop_
_atom_site_label
_atom_site_type_symbol
_atom_site_fract_x
_atom_site_fract_y
_atom_site_fract_z
Zn1 Zn 0.000 0.000 0.000
Ag1 Ag 0.000 0.000 0.500
Cl1 Cl 0.500 0.500 0.245
# * raw total energy: -2.11 eV per atom
# * mass density: 5.051 g/cm³
# * uncorrected formation energy: -0.1578 eV/atom
# * relative energy among the computed polymorphs: 0.3539 eV/atom
# * calculated volume: 80.28 Å³ per cell
# * total magnetic moment: 0.00 μB per cell

=====

# NaCa2InN, optimized geometry, DFT PBE
data_NaCa2InN
_cell_length_a 4.844
_cell_length_b 4.844
_cell_length_c 5.128
_cell_angle_alpha 90.00
_cell_angle_beta 90.00
_cell_angle_gamma 90.00
_symmetry_space_group_name_H-M 'P 4/m m m'
_symmetry_Int_Tables_number 123
_symmetry_space_group_name_Hall '-P 4 2'
loop_
_atom_site_label
_atom_site_type_symbol
_atom_site_fract_x
_atom_site_fract_y
_atom_site_fract_z
Na1 Na 0.000 0.000 0.000
Ca1 Ca 0.000 0.500 0.500
In1 In 0.500 0.500 0.000
N1 N 0.000 0.000 0.500
# * raw total energy: -3.62 eV per atom
# * mass density: 3.201 g/cm³
# * uncorrected formation energy: -0.3461 eV/atom
# * calculated volume: 120.34 Å³ per cell
# * total magnetic moment: 0.00 μB per cell

=====

# LaTb2Er4Sc, optimized geometry, DFT PBE
data_LaTb2Er4Sc
_cell_length_a 13.415
_cell_length_b 13.060
_cell_length_c 6.712
_cell_angle_alpha 90.00
_cell_angle_beta 120.01
_cell_angle_gamma 90.00
_symmetry_space_group_name_H-M 'C 1 2/c 1'
_symmetry_Int_Tables_number 15
_symmetry_space_group_name_Hall '-C 2yc'
loop_
_atom_site_label
_atom_site_type_symbol
_atom_site_fract_x
_atom_site_fract_y
_atom_site_fract_z
La1 La 0.250 0.250 0.000
Tb1 Tb 0.000 0.000 0.000
Tb2 Tb 0.250 0.250 0.500
Er1 Er 0.000 0.261 0.002
Er2 Er 0.238 0.500 0.487
Sc1 Sc 0.000 0.500 0.000
# * raw total energy: -4.42 eV per atom
# * mass density: 7.637 g/cm³
# * ΔE_f: 0.4282 eV per atom
# * calculated volume: 1018.29 Å³ per cell
# * total magnetic moment: 6.54 μB per cell

=====

# LaTe2P, optimized geometry, DFT PBE
data_LaTe2P
_cell_length_a 4.414
_cell_length_b 4.414
_cell_length_c 5.539
_cell_angle_alpha 90.00
_cell_angle_beta 90.00
_cell_angle_gamma 90.00
_symmetry_space_group_name_H-M 'P 4/m m m'
_symmetry_Int_Tables_number 123
_symmetry_space_group_name_Hall '-P 4 2'
loop_
_atom_site_label
_atom_site_type_symbol
_atom_site_fract_x
_atom_site_fract_y
_atom_site_fract_z
La1 La 0.000 0.000 0.000
Te1 Te 0.000 0.500 0.500
P1 P 0.500 0.500 0.000
# * raw total energy: -4.73 eV per atom
# * mass density: 6.542 g/cm³
# * uncorrected formation energy: -0.5741 eV/atom
# * calculated volume: 107.90 Å³ per cell
# * total magnetic moment: 0.00 μB per cell

=====

# AcSnPd, optimized geometry, DFT PBE
data_AcSnPd
_cell_length_a 7.836
_cell_length_b 4.613
_cell_length_c 13.101
_cell_angle_alpha 90.00
_cell_angle_beta 90.92
_cell_angle_gamma 90.00
_symmetry_space_group_name_H-M 'P 1 21/m 1'
_symmetry_Int_Tables_number 11
_symmetry_space_group_name_Hall '-P 2yb'
loop_
_atom_site_label
_atom_site_type_symbol
_atom_site_fract_x
_atom_site_fract_y
_atom_site_fract_z
Ac1 Ac 0.008 0.250 0.126
Ac2 Ac 0.145 0.250 0.419
Ac3 Ac 0.483 0.750 0.802
Sn1 Sn 0.155 0.250 0.703
Sn2 Sn 0.320 0.750 0.047
Sn3 Sn 0.481 0.750 0.410
Pd1 Pd 0.223 0.750 0.256
Pd2 Pd 0.286 0.750 0.593
Pd3 Pd 0.287 0.250 0.927
# * raw total energy: -5.25 eV per atom
# * mass density: 9.512 g/cm³
# * ΔE_f: -0.8110 eV per atom
# * relative energy among the computed polymorphs: 0.0381 eV/atom
# * calculated volume: 473.57 Å³ per cell
# * total magnetic moment: 0.00 μB per cell

=====

# Tb5Tl2Sb2, optimized geometry, DFT PBE
data_Tb5Tl2Sb2
_cell_length_a 15.690
_cell_length_b 8.177
_cell_length_c 8.159
_cell_angle_alpha 90.00
_cell_angle_beta 90.00
_cell_angle_gamma 90.00
_symmetry_space_group_name_H-M 'C m c e'
_symmetry_Int_Tables_number 64
_symmetry_space_group_name_Hall '-C 2ac 2'
loop_
_atom_site_label
_atom_site_type_symbol
_atom_site_fract_x
_atom_site_fract_y
_atom_site_fract_z
Tb1 Tb 0.000 0.000 0.000
Tb2 Tb 0.139 0.170 0.335
Tl1 Tl 0.000 0.133 0.631
Sb1 Sb 0.202 0.000 0.000
# * raw total energy: -4.73 eV per atom
# * mass density: 9.181 g/cm³
# * uncorrected formation energy: -0.7121 eV/atom
# * calculated volume: 1046.82 Å³ per cell
# * total magnetic moment: 0.00 μB per cell